Entry from Alexandria via LeMat-Bulk: crystalline Ac3Ga8Ag3 at its relaxed geometry (GGA-PBE).

Results
- E_form: -451 meV/atom
- Calculated volume: 311.5 Å³/cell
- Space-group type: Immm (71)
- Total magnetic moment: 0.00 μB per atom

abc: 4.580 8.799 8.799
angles: 67.65 74.92 74.92
Element x y z (fractional)
Ga 0.840 0.794 0.525
Ga 0.645 0.078 0.631
Ga 0.355 0.369 0.922
Ga 0.160 0.475 0.206
Ga 0.840 0.525 0.794
Ga 0.645 0.631 0.078
Ga 0.355 0.922 0.369
Ga 0.160 0.206 0.475
Ag 0.000 0.798 0.202
Ag 0.000 0.202 0.798
Ag 0.500 0.000 0.000
Ac 0.196 0.804 0.804
Ac 0.804 0.196 0.196
Ac 0.500 0.500 0.500